## one
{"formula": "Re2GeAs", "functional": "PBE-GGA", "state": "optimized geometry", "spacegroup": "I-42d, No. 122", "total_magnetization_mub_per_cell": 2.476, "lattice_angstrom": [[-2.8900, 2.8900, 5.2555], [2.8900, -2.8900, 5.2555], [2.8900, 2.8900, -5.2555]], "species": ["Re", "Re", "Re", "Re", "Ge", "Ge", "As", "As"], "frac_coords": [[0.1202, 0.6250, 0.9952], [0.3750, 0.3702, 0.4952], [0.6298, 0.1250, 0.0048], [0.8750, 0.8798, 0.5048], [0.2500, 0.7500, 0.5000], [0.5000, 0.5000, 0.0000], [0.0000, 0.0000, 0.0000], [0.7500, 0.2500, 0.5000]]}



## two
{"formula": "Re2GeAs", "functional": "PBE-GGA", "state": "optimized geometry", "spacegroup": "Fm-3m, No. 225", "total_magnetization_mub_per_cell": 0.000, "lattice_angstrom": [[0.0000, 3.0831, 3.0831], [3.0831, 0.0000, 3.0831], [3.0831, 3.0831, 0.0000]], "species": ["Re", "Re", "Ge", "As"], "frac_coords": [[0.2500, 0.2500, 0.2500], [0.7500, 0.7500, 0.7500], [0.0000, 0.0000, 0.0000], [0.5000, 0.5000, 0.5000]]}



Stability comparison, relative energies in eV/atom: one 0.871; two 0.000



## one
{"formula": "ReGeAs3", "functional": "PBE-GGA", "state": "optimized geometry", "spacegroup": "Pm-3m, No. 221", "total_magnetization_mub_per_cell": 2.573, "lattice_angstrom": [[4.7969, 0.0000, 0.0000], [0.0000, 4.7969, 0.0000], [0.0000, 0.0000, 4.7969]], "species": ["Re", "Ge", "As", "As", "As"], "frac_coords": [[0.0000, 0.0000, 0.0000], [0.5000, 0.5000, 0.5000], [0.0000, 0.5000, 0.5000], [0.5000, 0.0000, 0.5000], [0.5000, 0.5000, 0.0000]]}



## two
{"formula": "ReGeAs3", "functional": "PBE-GGA", "state": "optimized geometry", "spacegroup": "Pm-3m, No. 221", "total_magnetization_mub_per_cell": 0.000, "lattice_angstrom": [[4.8503, 0.0000, 0.0000], [0.0000, 4.8503, 0.0000], [0.0000, 0.0000, 4.8503]], "species": ["Re", "Ge", "As", "As", "As"], "frac_coords": [[0.0000, 0.0000, 0.0000], [0.5000, 0.5000, 0.5000], [0.0000, 0.0000, 0.5000], [0.0000, 0.5000, 0.0000], [0.5000, 0.0000, 0.0000]]}



Stability comparison, relative energies in eV/atom: one 0.848; two 0.000



## one
{"formula": "ReGeAsSe2", "functional": "PBE-GGA", "state": "optimized geometry", "spacegroup": "P4/mmm, No. 123", "total_magnetization_mub_per_cell": 0.021, "lattice_angstrom": [[4.7677, 0.0000, 0.0000], [0.0000, 4.7677, 0.0000], [0.0000, 0.0000, 4.7560]], "species": ["Re", "Ge", "As", "Se", "Se"], "frac_coords": [[0.0000, 0.0000, 0.0000], [0.5000, 0.5000, 0.5000], [0.5000, 0.5000, 0.0000], [0.0000, 0.5000, 0.5000], [0.5000, 0.0000, 0.5000]]}



## two
{"formula": "ReGeAsSe2", "functional": "PBE-GGA", "state": "optimized geometry", "spacegroup": "P4/mmm, No. 123", "total_magnetization_mub_per_cell": 0.137, "lattice_angstrom": [[4.9848, 0.0000, 0.0000], [0.0000, 4.9848, 0.0000], [0.0000, 0.0000, 4.7386]], "species": ["Re", "Ge", "As", "Se", "Se"], "frac_coords": [[0.0000, 0.0000, 0.0000], [0.5000, 0.5000, 0.5000], [0.0000, 0.0000, 0.5000], [0.0000, 0.5000, 0.0000], [0.5000, 0.0000, 0.0000]]}



Stability comparison, relative energies in eV/atom: one 0.865; two 0.000



## one
{"formula": "GeAsRh3", "functional": "PBE-GGA", "state": "optimized geometry", "spacegroup": "Pm-3m, No. 221", "total_magnetization_mub_per_cell": 0.000, "lattice_angstrom": [[4.5687, 0.0000, 0.0000], [0.0000, 4.5687, 0.0000], [0.0000, 0.0000, 4.5687]], "species": ["Ge", "As", "Rh", "Rh", "Rh"], "frac_coords": [[0.0000, 0.0000, 0.0000], [0.5000, 0.5000, 0.5000], [0.0000, 0.5000, 0.5000], [0.5000, 0.0000, 0.5000], [0.5000, 0.5000, 0.0000]]}



## two
{"formula": "GeAsRh3", "functional": "PBE-GGA", "state": "optimized geometry", "spacegroup": "Pm-3m, No. 221", "total_magnetization_mub_per_cell": 0.000, "lattice_angstrom": [[4.5468, 0.0000, 0.0000], [0.0000, 4.5468, 0.0000], [0.0000, 0.0000, 4.5468]], "species": ["Ge", "As", "Rh", "Rh", "Rh"], "frac_coords": [[0.0000, 0.0000, 0.0000], [0.5000, 0.5000, 0.5000], [0.0000, 0.0000, 0.5000], [0.0000, 0.5000, 0.0000], [0.5000, 0.0000, 0.0000]]}



Stability comparison, relative energies in eV/atom: one 0.000; two 0.144



## one
{"formula": "GeAsRh", "functional": "PBE-GGA", "state": "optimized geometry", "spacegroup": "F-43m, No. 216", "total_magnetization_mub_per_cell": 0.000, "lattice_angstrom": [[0.0000, 2.9944, 2.9944], [2.9944, 0.0000, 2.9944], [2.9944, 2.9944, 0.0000]], "species": ["Ge", "As", "Rh"], "frac_coords": [[0.0000, 0.0000, 0.0000], [0.5000, 0.5000, 0.5000], [0.7500, 0.7500, 0.7500]]}



## two
{"formula": "GeAsRh", "functional": "PBE-GGA", "state": "optimized geometry", "spacegroup": "C2/c, No. 15", "total_magnetization_mub_per_cell": 0.000, "lattice_angstrom": [[4.5574, -2.6066, 0.0000], [4.5574, 2.6066, 0.0000], [-3.5951, 0.0000, 4.4721]], "species": ["Ge", "Ge", "As", "As", "Rh", "Rh"], "frac_coords": [[0.1135, 0.8865, 0.7500], [0.8865, 0.1135, 0.2500], [0.0000, 0.5000, 0.0000], [0.5000, 0.0000, 0.5000], [0.5000, 0.5000, 0.0000], [0.5000, 0.5000, 0.5000]]}



Stability comparison, relative energies in eV/atom: one 0.000; two 0.158



## one
{"formula": "GeAsRhSe2", "functional": "PBE-GGA", "state": "optimized geometry", "spacegroup": "P4/mmm, No. 123", "total_magnetization_mub_per_cell": 1.083, "lattice_angstrom": [[4.8846, 0.0000, 0.0000], [0.0000, 4.8846, 0.0000], [0.0000, 0.0000, 4.8550]], "species": ["Ge", "As", "Rh", "Se", "Se"], "frac_coords": [[0.0000, 0.0000, 0.0000], [0.0000, 0.0000, 0.5000], [0.5000, 0.5000, 0.5000], [0.0000, 0.5000, 0.0000], [0.5000, 0.0000, 0.0000]]}



## two
{"formula": "GeAsRhSe2", "functional": "PBE-GGA", "state": "optimized geometry", "spacegroup": "P4/mmm, No. 123", "total_magnetization_mub_per_cell": 0.000, "lattice_angstrom": [[5.1093, 0.0000, 0.0000], [0.0000, 5.1093, 0.0000], [0.0000, 0.0000, 4.5273]], "species": ["Ge", "As", "Rh", "Se", "Se"], "frac_coords": [[0.0000, 0.0000, 0.0000], [0.5000, 0.5000, 0.0000], [0.5000, 0.5000, 0.5000], [0.0000, 0.5000, 0.5000], [0.5000, 0.0000, 0.5000]]}



Stability comparison, relative energies in eV/atom: one 0.559; two 0.000



## one
{"formula": "GeAs3Ru", "functional": "PBE-GGA", "state": "optimized geometry", "spacegroup": "Pm-3m, No. 221", "total_magnetization_mub_per_cell": 1.269, "lattice_angstrom": [[4.7950, 0.0000, 0.0000], [0.0000, 4.7950, 0.0000], [0.0000, 0.0000, 4.7950]], "species": ["Ge", "As", "As", "As", "Ru"], "frac_coords": [[0.0000, 0.0000, 0.0000], [0.0000, 0.0000, 0.5000], [0.0000, 0.5000, 0.0000], [0.5000, 0.0000, 0.0000], [0.5000, 0.5000, 0.5000]]}



## two
{"formula": "GeAs3Ru", "functional": "PBE-GGA", "state": "optimized geometry", "spacegroup": "Pm-3m, No. 221", "total_magnetization_mub_per_cell": 0.000, "lattice_angstrom": [[4.8095, 0.0000, 0.0000], [0.0000, 4.8095, 0.0000], [0.0000, 0.0000, 4.8095]], "species": ["Ge", "As", "As", "As", "Ru"], "frac_coords": [[0.0000, 0.0000, 0.0000], [0.0000, 0.5000, 0.5000], [0.5000, 0.0000, 0.5000], [0.5000, 0.5000, 0.0000], [0.5000, 0.5000, 0.5000]]}



Stability comparison, relative energies in eV/atom: one 0.724; two 0.000



## one
{"formula": "GeAs2RuSe", "functional": "PBE-GGA", "state": "optimized geometry", "spacegroup": "P4/mmm, No. 123", "total_magnetization_mub_per_cell": 0.000, "lattice_angstrom": [[4.6294, 0.0000, 0.0000], [0.0000, 4.6294, 0.0000], [0.0000, 0.0000, 5.4776]], "species": ["Ge", "As", "As", "Ru", "Se"], "frac_coords": [[0.0000, 0.0000, 0.0000], [0.0000, 0.5000, 0.5000], [0.5000, 0.0000, 0.5000], [0.5000, 0.5000, 0.5000], [0.5000, 0.5000, 0.0000]]}



## two
{"formula": "GeAs2RuSe", "functional": "PBE-GGA", "state": "optimized geometry", "spacegroup": "P4/mmm, No. 123", "total_magnetization_mub_per_cell": 0.168, "lattice_angstrom": [[4.7720, 0.0000, 0.0000], [0.0000, 4.7720, 0.0000], [0.0000, 0.0000, 4.8433]], "species": ["Ge", "As", "As", "Ru", "Se"], "frac_coords": [[0.0000, 0.0000, 0.0000], [0.0000, 0.5000, 0.0000], [0.5000, 0.0000, 0.0000], [0.5000, 0.5000, 0.5000], [0.0000, 0.0000, 0.5000]]}



Stability comparison, relative energies in eV/atom: one 0.000; two 0.753



## one
{"formula": "GeAsRuSe2", "functional": "PBE-GGA", "state": "optimized geometry", "spacegroup": "P4/mmm, No. 123", "total_magnetization_mub_per_cell": 0.002, "lattice_angstrom": [[5.0515, 0.0000, 0.0000], [0.0000, 5.0515, 0.0000], [0.0000, 0.0000, 4.5671]], "species": ["Ge", "As", "Ru", "Se", "Se"], "frac_coords": [[0.0000, 0.0000, 0.0000], [0.5000, 0.5000, 0.0000], [0.5000, 0.5000, 0.5000], [0.0000, 0.5000, 0.5000], [0.5000, 0.0000, 0.5000]]}



## two
{"formula": "GeAsRuSe2", "functional": "PBE-GGA", "state": "optimized geometry", "spacegroup": "P4/mmm, No. 123", "total_magnetization_mub_per_cell": 2.102, "lattice_angstrom": [[4.8557, 0.0000, 0.0000], [0.0000, 4.8557, 0.0000], [0.0000, 0.0000, 4.7831]], "species": ["Ge", "As", "Ru", "Se", "Se"], "frac_coords": [[0.0000, 0.0000, 0.0000], [0.0000, 0.0000, 0.5000], [0.5000, 0.5000, 0.5000], [0.0000, 0.5000, 0.0000], [0.5000, 0.0000, 0.0000]]}



Stability comparison, relative energies in eV/atom: one 0.000; two 0.649



## one
{"formula": "GeAs2S", "functional": "PBE-GGA", "state": "optimized geometry", "spacegroup": "I-42d, No. 122", "total_magnetization_mub_per_cell": 0.000, "lattice_angstrom": [[-2.6432, 2.6432, 7.0329], [2.6432, -2.6432, 7.0329], [2.6432, 2.6432, -7.0329]], "species": ["Ge", "Ge", "As", "As", "As", "As", "S", "S"], "frac_coords": [[0.0000, 0.0000, 0.0000], [0.7500, 0.2500, 0.5000], [0.1472, 0.6250, 0.0222], [0.3750, 0.3972, 0.5222], [0.6028, 0.1250, 0.9778], [0.8750, 0.8528, 0.4778], [0.2500, 0.7500, 0.5000], [0.5000, 0.5000, 0.0000]]}



## two
{"formula": "GeAs2S", "functional": "PBE-GGA", "state": "optimized geometry", "spacegroup": "Fm-3m, No. 225", "total_magnetization_mub_per_cell": 0.000, "lattice_angstrom": [[0.0000, 3.3202, 3.3202], [3.3202, 0.0000, 3.3202], [3.3202, 3.3202, 0.0000]], "species": ["Ge", "As", "As", "S"], "frac_coords": [[0.0000, 0.0000, 0.0000], [0.2500, 0.2500, 0.2500], [0.7500, 0.7500, 0.7500], [0.5000, 0.5000, 0.5000]]}



Stability comparison, relative energies in eV/atom: one 0.000; two 0.158



## one
{"formula": "GeAsS", "functional": "PBE-GGA", "state": "optimized geometry", "spacegroup": "I4mm, No. 107", "total_magnetization_mub_per_cell": 0.000, "lattice_angstrom": [[-1.8503, 1.8503, 5.0305], [1.8503, -1.8503, 5.0305], [1.8503, 1.8503, -5.0305]], "species": ["Ge", "As", "S"], "frac_coords": [[0.0000, 0.0000, 0.0000], [0.3709, 0.3709, 0.0000], [0.5964, 0.5964, 0.0000]]}



## two
{"formula": "GeAsS", "functional": "PBE-GGA", "state": "optimized geometry", "spacegroup": "P3m1, No. 156", "total_magnetization_mub_per_cell": 0.000, "lattice_angstrom": [[3.7502, 0.0000, 0.0000], [-1.8751, 3.2478, 0.0000], [0.0000, 0.0000, 4.7413]], "species": ["Ge", "As", "S"], "frac_coords": [[0.0000, 0.0000, 0.0000], [0.3333, 0.6667, 0.6982], [0.6667, 0.3333, 0.3253]]}



Stability comparison, relative energies in eV/atom: one 0.067; two 0.000



## one
{"formula": "GeAsS", "functional": "PBE-GGA", "state": "optimized geometry", "spacegroup": "C2/m, No. 12", "total_magnetization_mub_per_cell": 0.000, "lattice_angstrom": [[6.7041, -1.8109, 0.0000], [6.7041, 1.8109, 0.0000], [-4.3463, 0.0000, 6.3108]], "species": ["Ge", "Ge", "As", "As", "S", "S"], "frac_coords": [[0.2069, 0.2069, 0.2843], [0.7931, 0.7931, 0.7157], [0.4210, 0.4210, 0.0215], [0.5790, 0.5790, 0.9785], [0.1371, 0.1371, 0.5008], [0.8629, 0.8629, 0.4992]]}



## two
{"formula": "GeAsS", "functional": "PBE-GGA", "state": "optimized geometry", "spacegroup": "C2/m, No. 12", "total_magnetization_mub_per_cell": 0.000, "lattice_angstrom": [[7.2761, -1.6298, 0.0000], [7.2761, 1.6298, 0.0000], [-2.5065, 0.0000, 6.7733]], "species": ["Ge", "Ge", "As", "As", "S", "S"], "frac_coords": [[0.0689, 0.0689, 0.3695], [0.9311, 0.9311, 0.6305], [0.1136, 0.1136, 0.7348], [0.8864, 0.8864, 0.2652], [0.3657, 0.3657, 0.7561], [0.6343, 0.6343, 0.2439]]}



Stability comparison, relative energies in eV/atom: one 0.063; two 0.000



## one
{"formula": "Ge3AsS", "functional": "PBE-GGA", "state": "optimized geometry", "spacegroup": "Pm-3m, No. 221", "total_magnetization_mub_per_cell": 0.000, "lattice_angstrom": [[4.9299, 0.0000, 0.0000], [0.0000, 4.9299, 0.0000], [0.0000, 0.0000, 4.9299]], "species": ["Ge", "Ge", "Ge", "As", "S"], "frac_coords": [[0.0000, 0.0000, 0.5000], [0.0000, 0.5000, 0.0000], [0.5000, 0.0000, 0.0000], [0.5000, 0.5000, 0.5000], [0.0000, 0.0000, 0.0000]]}



## two
{"formula": "Ge3AsS", "functional": "PBE-GGA", "state": "optimized geometry", "spacegroup": "Pm-3m, No. 221", "total_magnetization_mub_per_cell": 0.000, "lattice_angstrom": [[5.0588, 0.0000, 0.0000], [0.0000, 5.0588, 0.0000], [0.0000, 0.0000, 5.0588]], "species": ["Ge", "Ge", "Ge", "As", "S"], "frac_coords": [[0.0000, 0.0000, 0.5000], [0.0000, 0.5000, 0.0000], [0.5000, 0.0000, 0.0000], [0.0000, 0.0000, 0.0000], [0.5000, 0.5000, 0.5000]]}



Stability comparison, relative energies in eV/atom: one 0.000; two 0.235



## one
{"formula": "GeAsS2", "functional": "PBE-GGA", "state": "optimized geometry", "spacegroup": "Pna2_1, No. 33", "total_magnetization_mub_per_cell": 0.000, "lattice_angstrom": [[7.8984, 0.0000, 0.0000], [0.0000, 9.2668, 0.0000], [0.0000, 0.0000, 5.4765]], "species": ["Ge", "Ge", "Ge", "Ge", "As", "As", "As", "As", "S", "S", "S", "S", "S", "S", "S", "S"], "frac_coords": [[0.0420, 0.1177, 0.0000], [0.4580, 0.6177, 0.5000], [0.5420, 0.3823, 0.0000], [0.9580, 0.8823, 0.5000], [0.0033, 0.5044, 0.5831], [0.4967, 0.0044, 0.0831], [0.5033, 0.9956, 0.5831], [0.9967, 0.4956, 0.0831], [0.0482, 0.1114, 0.5861], [0.1685, 0.7038, 0.6176], [0.3315, 0.2038, 0.1176], [0.4518, 0.6114, 0.0861], [0.5482, 0.3886, 0.5861], [0.6685, 0.7962, 0.6176], [0.8315, 0.2962, 0.1176], [0.9518, 0.8886, 0.0861]]}



## two
{"formula": "GeAsS2", "functional": "PBE-GGA", "state": "optimized geometry", "spacegroup": "R-3m, No. 166", "total_magnetization_mub_per_cell": 0.000, "lattice_angstrom": [[1.7645, 1.0187, 7.8816], [-1.7645, 1.0187, 7.8816], [0.0000, -2.0375, 7.8816]], "species": ["Ge", "As", "S", "S"], "frac_coords": [[0.0000, 0.0000, 0.0000], [0.5000, 0.5000, 0.5000], [0.3961, 0.3961, 0.3961], [0.6039, 0.6039, 0.6039]]}



Stability comparison, relative energies in eV/atom: one 0.000; two 0.037